Computed, not measured: a relaxed Ca2MnBr2O2 crystal at the PBE+U level of DFT.

Its volume is 20.82 Å³/atom. Its calculated total energy is -5.629 eV per atom. The density of states at the Fermi level comes out at 0.046 states/eV/atom.

The structure belongs to space group I4/mmm (No. 139); the cell edges are 4.100, 4.100 and 17.341 Å and the angles 90.00°, 90.00° and 90.00°. The inequivalent atoms are Ca at (0.000, 0.000, 0.088), Mn at (0.000, 0.000, 0.500), Br at (0.000, 0.000, 0.332) and O at (0.000, 0.500, 0.000).